# 1
VASP calculation (GGA-PBEsol) on a geometry-optimized Mn2CuAgTe structure.

## Properties
formation energy without anion corrections	1.105	eV per atom

Unit cell a=4.656 b=4.821 c=4.821 alpha=90.00 beta=90.00 gamma=90.00
Site moments in Bohr magnetons follow the coordinates.
Positions (direct):
Mn: 0.000 0.000 0.500  3.44
Mn: 0.000 0.500 0.000  3.44
Te: 0.000 0.000 0.000  -0.08
Cu: 0.500 0.000 0.000  -0.01
Ag: 0.500 0.500 0.500  -0.05

=====

# 2
VASP calculation (GGA-PBEsol) on a geometry-optimized CuAg2Mo structure.

## Properties
relative energy among the computed polymorphs	1.210	eV per formula unit
calculated formation energy	2.544	eV/f.u.

Unit cell a=3.966 b=3.966 c=4.738 alpha=114.74 beta=114.74 gamma=90.00
Site moments in Bohr magnetons follow the coordinates.
Positions (direct):
Ag: 0.750 0.250 0.500  0.01
Ag: 0.250 0.750 0.500  0.01
Cu: 0.500 0.500 0.000  0.02
Mo: 0.000 0.000 0.000  0.38